! LaYSCl2 PBE-GGA optimized geometry; values from VASP
&SYSTEM
  ibrav = 0, nat = 5, ntyp = 4
/
ATOMIC_SPECIES
La 138.91 La.upf
Y 88.91 Y.upf
S 32.06 S.upf
Cl 35.45 Cl.upf
CELL_PARAMETERS angstrom
5.145 0.000 0.000
0.000 5.145 0.000
0.000 0.000 5.265
ATOMIC_POSITIONS crystal
La 0.000 0.000 0.000
Y 0.500 0.500 0.500
S 0.500 0.500 0.000
Cl 0.000 0.500 0.500
Cl 0.500 0.000 0.500
! ΔE_f (raw) ... -1447 meV/atom
! Space-group type ... No. 123
! Magnetization ... 1.01 Bohr magnetons per cell
! Calculated total energy ... -5.289 eV per atom
! Relative energy among the computed polymorphs ... 0.000 eV/atom



! LaZnSCl2 PBE-GGA optimized geometry; values from VASP
&SYSTEM
  ibrav = 0, nat = 5, ntyp = 4
/
ATOMIC_SPECIES
La 138.91 La.upf
Zn 65.41 Zn.upf
S 32.06 S.upf
Cl 35.45 Cl.upf
CELL_PARAMETERS angstrom
4.807 0.000 0.000
0.000 4.807 0.000
0.000 0.000 4.896
ATOMIC_POSITIONS crystal
La 0.000 0.000 0.000
Zn 0.500 0.500 0.500
S 0.500 0.500 0.000
Cl 0.000 0.500 0.500
Cl 0.500 0.000 0.500
! ΔE_f (raw) ... -1135 meV/atom
! Space-group type ... No. 123
! Magnetization ... 0.34 Bohr magnetons per cell
! Calculated total energy ... -3.940 eV per atom
! Relative energy among the computed polymorphs ... 0.031 eV/atom



! La4ZnSCl2 PBE-GGA optimized geometry; values from VASP
&SYSTEM
  ibrav = 0, nat = 8, ntyp = 4
/
ATOMIC_SPECIES
La 138.91 La.upf
Zn 65.41 Zn.upf
S 32.06 S.upf
Cl 35.45 Cl.upf
CELL_PARAMETERS angstrom
7.341 0.000 0.000
0.000 4.212 0.000
-2.493 0.000 6.977
ATOMIC_POSITIONS crystal
La 0.233 0.000 0.234
La 0.240 0.500 0.754
La 0.760 0.500 0.246
La 0.767 0.000 0.766
Zn 0.500 0.000 0.000
S 0.000 0.500 0.000
Cl 0.000 0.000 0.500
Cl 0.500 0.500 0.500
! ΔE_f (raw) ... -1383 meV/atom
! Space-group type ... No. 10
! Magnetization ... 0.00 Bohr magnetons per cell
! Calculated total energy ... -4.984 eV per atom



! LaZnSCl2 PBE-GGA optimized geometry; values from VASP
&SYSTEM
  ibrav = 0, nat = 5, ntyp = 4
/
ATOMIC_SPECIES
La 138.91 La.upf
Zn 65.41 Zn.upf
S 32.06 S.upf
Cl 35.45 Cl.upf
CELL_PARAMETERS angstrom
5.530 0.000 0.000
0.000 5.530 0.000
0.000 0.000 5.693
ATOMIC_POSITIONS crystal
La 0.000 0.000 0.000
Zn 0.500 0.500 0.500
S 0.000 0.000 0.500
Cl 0.000 0.500 0.000
Cl 0.500 0.000 0.000
! ΔE_f (raw) ... -1166 meV/atom
! Space-group type ... No. 123
! Magnetization ... 0.00 Bohr magnetons per cell
! Calculated total energy ... -3.970 eV per atom
! Relative energy among the computed polymorphs ... 0.000 eV/atom



! LaZrS2Cl PBE-GGA optimized geometry; values from VASP
&SYSTEM
  ibrav = 0, nat = 5, ntyp = 4
/
ATOMIC_SPECIES
La 138.91 La.upf
Zr 91.22 Zr.upf
S 32.06 S.upf
Cl 35.45 Cl.upf
CELL_PARAMETERS angstrom
5.486 0.000 0.000
0.000 5.486 0.000
0.000 0.000 5.289
ATOMIC_POSITIONS crystal
La 0.000 0.000 0.000
Zr 0.500 0.500 0.500
S 0.000 0.500 0.000
S 0.500 0.000 0.000
Cl 0.000 0.000 0.500
! ΔE_f (raw) ... -466 meV/atom
! Space-group type ... No. 123
! Magnetization ... 0.21 Bohr magnetons per cell
! Calculated total energy ... -5.181 eV per atom
! Relative energy among the computed polymorphs ... 0.953 eV/atom



! LaZrS2Cl PBE-GGA optimized geometry; values from VASP
&SYSTEM
  ibrav = 0, nat = 5, ntyp = 4
/
ATOMIC_SPECIES
La 138.91 La.upf
Zr 91.22 Zr.upf
S 32.06 S.upf
Cl 35.45 Cl.upf
CELL_PARAMETERS angstrom
4.991 0.000 0.000
0.000 4.991 0.000
0.000 0.000 4.855
ATOMIC_POSITIONS crystal
La 0.000 0.000 0.000
Zr 0.500 0.500 0.500
S 0.000 0.500 0.500
S 0.500 0.000 0.500
Cl 0.500 0.500 0.000
! ΔE_f (raw) ... -1419 meV/atom
! Space-group type ... No. 123
! Magnetization ... 0.00 Bohr magnetons per cell
! Calculated total energy ... -6.134 eV per atom
! Relative energy among the computed polymorphs ... 0.000 eV/atom



! LaSb2Cl PBE-GGA optimized geometry; values from VASP
&SYSTEM
  ibrav = 0, nat = 4, ntyp = 3
/
ATOMIC_SPECIES
La 138.91 La.upf
Sb 121.76 Sb.upf
Cl 35.45 Cl.upf
CELL_PARAMETERS angstrom
4.489 0.000 0.000
0.000 4.489 0.000
0.000 0.000 5.950
ATOMIC_POSITIONS crystal
La 0.000 0.000 0.000
Sb 0.500 0.500 0.236
Sb 0.500 0.500 0.764
Cl 0.000 0.000 0.500
! ΔE_f (raw) ... -835 meV/atom
! Space-group type ... No. 123
! Magnetization ... 0.00 Bohr magnetons per cell
! Calculated total energy ... -4.589 eV per atom
! Relative energy among the computed polymorphs ... 0.286 eV/atom



! LaSb2Cl PBE-GGA optimized geometry; values from VASP
&SYSTEM
  ibrav = 0, nat = 4, ntyp = 3
/
ATOMIC_SPECIES
La 138.91 La.upf
Sb 121.76 Sb.upf
Cl 35.45 Cl.upf
CELL_PARAMETERS angstrom
5.084 0.000 0.000
0.000 4.115 0.000
-0.623 0.000 7.436
ATOMIC_POSITIONS crystal
La 0.000 0.000 0.000
Sb 0.507 0.500 0.092
Sb 0.611 0.000 0.352
Cl 0.977 0.500 0.729
! ΔE_f (raw) ... -960 meV/atom
! Space-group type ... No. 6
! Magnetization ... 0.00 Bohr magnetons per cell
! Calculated total energy ... -4.715 eV per atom
! Relative energy among the computed polymorphs ... 0.161 eV/atom



! La4Sb3Cl PBE-GGA optimized geometry; values from VASP
&SYSTEM
  ibrav = 0, nat = 8, ntyp = 3
/
ATOMIC_SPECIES
La 138.91 La.upf
Sb 121.76 Sb.upf
Cl 35.45 Cl.upf
CELL_PARAMETERS angstrom
-3.217 3.217 6.429
3.217 -3.217 6.429
3.217 3.217 -6.429
ATOMIC_POSITIONS crystal
La 0.000 0.500 0.500
La 0.247 0.247 0.000
La 0.500 0.000 0.500
La 0.753 0.753 0.000
Sb 0.000 0.000 0.000
Sb 0.250 0.750 0.500
Sb 0.750 0.250 0.500
Cl 0.500 0.500 0.000
! ΔE_f (raw) ... -1379 meV/atom
! Space-group type ... No. 139
! Magnetization ... 0.00 Bohr magnetons per cell
! Calculated total energy ... -5.620 eV per atom



! LaSb3Cl PBE-GGA optimized geometry; values from VASP
&SYSTEM
  ibrav = 0, nat = 5, ntyp = 3
/
ATOMIC_SPECIES
La 138.91 La.upf
Sb 121.76 Sb.upf
Cl 35.45 Cl.upf
CELL_PARAMETERS angstrom
6.091 0.000 0.000
0.000 6.091 0.000
0.000 0.000 6.091
ATOMIC_POSITIONS crystal
La 0.000 0.000 0.000
Sb 0.000 0.000 0.500
Sb 0.000 0.500 0.000
Sb 0.500 0.000 0.000
Cl 0.500 0.500 0.500
! ΔE_f (raw) ... 463 meV/atom
! Space-group type ... No. 221
! Magnetization ... 0.00 Bohr magnetons per cell
! Calculated total energy ... -3.366 eV per atom
! Relative energy among the computed polymorphs ... 0.517 eV/atom



! LaSbCl PBE-GGA optimized geometry; values from VASP
&SYSTEM
  ibrav = 0, nat = 3, ntyp = 3
/
ATOMIC_SPECIES
La 138.91 La.upf
Sb 121.76 Sb.upf
Cl 35.45 Cl.upf
CELL_PARAMETERS angstrom
0.000 3.713 3.713
3.713 0.000 3.713
3.713 3.713 0.000
ATOMIC_POSITIONS crystal
La 0.000 0.000 0.000
Sb 0.250 0.250 0.250
Cl 0.750 0.750 0.750
! ΔE_f (raw) ... -1037 meV/atom
! Space-group type ... No. 216
! Magnetization ... 1.04 Bohr magnetons per cell
! Calculated total energy ... -4.670 eV per atom
! Relative energy among the computed polymorphs ... 0.423 eV/atom



! LaSb2Cl PBE-GGA optimized geometry; values from VASP
&SYSTEM
  ibrav = 0, nat = 4, ntyp = 3
/
ATOMIC_SPECIES
La 138.91 La.upf
Sb 121.76 Sb.upf
Cl 35.45 Cl.upf
CELL_PARAMETERS angstrom
3.924 0.000 0.000
0.000 3.924 0.000
0.000 0.000 7.784
ATOMIC_POSITIONS crystal
La 0.000 0.000 0.000
Sb 0.000 0.000 0.422
Sb 0.500 0.500 0.267
Cl 0.500 0.500 0.817
! ΔE_f (raw) ... -947 meV/atom
! Space-group type ... No. 99
! Magnetization ... 0.00 Bohr magnetons per cell
! Calculated total energy ... -4.702 eV per atom
! Relative energy among the computed polymorphs ... 0.173 eV/atom



! LaSb2Cl PBE-GGA optimized geometry; values from VASP
&SYSTEM
  ibrav = 0, nat = 4, ntyp = 3
/
ATOMIC_SPECIES
La 138.91 La.upf
Sb 121.76 Sb.upf
Cl 35.45 Cl.upf
CELL_PARAMETERS angstrom
-2.145 2.145 5.826
2.145 -2.145 5.826
2.145 2.145 -5.826
ATOMIC_POSITIONS crystal
La 0.000 0.000 0.000
Sb 0.250 0.750 0.500
Sb 0.750 0.250 0.500
Cl 0.500 0.500 0.000
! ΔE_f (raw) ... -1121 meV/atom
! Space-group type ... No. 139
! Magnetization ... 0.00 Bohr magnetons per cell
! Calculated total energy ... -4.875 eV per atom
! Relative energy among the computed polymorphs ... 0.000 eV/atom



! La2Sb2Cl PBE-GGA optimized geometry; values from VASP
&SYSTEM
  ibrav = 0, nat = 10, ntyp = 3
/
ATOMIC_SPECIES
La 138.91 La.upf
Sb 121.76 Sb.upf
Cl 35.45 Cl.upf
CELL_PARAMETERS angstrom
8.223 0.000 0.000
0.000 8.223 0.000
0.000 0.000 4.552
ATOMIC_POSITIONS crystal
La 0.178 0.322 0.000
La 0.322 0.822 0.000
La 0.678 0.178 0.000
La 0.822 0.678 0.000
Sb 0.124 0.624 0.500
Sb 0.376 0.124 0.500
Sb 0.624 0.876 0.500
Sb 0.876 0.376 0.500
Cl 0.000 0.000 0.000
Cl 0.500 0.500 0.000
! ΔE_f (raw) ... -1395 meV/atom
! Space-group type ... No. 127
! Magnetization ... 0.00 Bohr magnetons per cell
! Calculated total energy ... -5.385 eV per atom



! La4SbCl PBE-GGA optimized geometry; values from VASP
&SYSTEM
  ibrav = 0, nat = 6, ntyp = 3
/
ATOMIC_SPECIES
La 138.91 La.upf
Sb 121.76 Sb.upf
Cl 35.45 Cl.upf
CELL_PARAMETERS angstrom
0.000 4.591 4.591
4.591 0.000 4.591
4.591 4.591 0.000
ATOMIC_POSITIONS crystal
La 0.123 0.123 0.123
La 0.123 0.123 0.632
La 0.123 0.632 0.123
La 0.632 0.123 0.123
Sb 0.750 0.750 0.750
Cl 0.500 0.500 0.500
! ΔE_f (raw) ... -221 meV/atom
! Space-group type ... No. 216
! Magnetization ... 0.01 Bohr magnetons per cell
! Calculated total energy ... -4.501 eV per atom